1.
Material: ScMo
Method: DFT, PBE-GGA
State: optimized geometry

```
ScMo
1.0
3.3354 0.0000 0.0000
0.0000 4.8316 0.0000
0.0000 0.0000 9.5512
Sc Mo
4 4
direct
0.0000 0.2500 0.1116
0.0000 0.7500 0.8884
0.5000 0.2500 0.3884
0.5000 0.7500 0.6116
0.0000 0.2500 0.6544
0.0000 0.7500 0.3456
0.5000 0.2500 0.8456
0.5000 0.7500 0.1544
```

Summary:
Its space group is No. 74. For the energy relative to the lowest polymorph listed for this composition, the calculation gives 0.11 eV per formula unit. The magnetic moment is 0.000 μB per atom. The energy is -8.551 eV per atom.

---

2.
Material: CsAlW3
Method: DFT, PBE-GGA
State: optimized geometry

```
CsAlW3
1.0
4.9204 0.0000 0.0000
0.0000 4.9204 0.0000
0.0000 0.0000 4.9204
Cs Al W
1 1 3
direct
0.0000 0.0000 0.0000
0.5000 0.5000 0.5000
0.0000 0.0000 0.5000
0.0000 0.5000 0.0000
0.5000 0.0000 0.0000
```

Summary:
Its space group is No. 221. The magnetic moment is 0.000 μB per atom. The energy is -4.758 eV per atom.

---

3.
Material: HfCoTeN2
Method: DFT, PBE-GGA
State: optimized geometry

```
HfCoTeN2
1.0
4.0422 0.0000 0.0000
0.0000 4.0422 0.0000
0.0000 0.0000 6.1373
Hf Co Te N
1 1 1 2
direct
0.0000 0.0000 0.0000
0.5000 0.5000 0.5000
0.0000 0.0000 0.5000
0.0000 0.5000 0.0000
0.5000 0.0000 0.0000
```

Summary:
Its space group is No. 123. For the energy relative to the lowest polymorph listed for this composition, the calculation gives 0.00 eV per formula unit. The magnetic moment is 0.502 μB per atom. The energy is -6.711 eV per atom. The formation energy from raw total energies is 0.659 eV per atom.

---

4.
Material: Ac2In2Rh5Pb
Method: DFT, PBE-GGA
State: optimized geometry

```
Ac2In2Rh5Pb
1.0
10.5708 0.0000 0.0000
0.0000 10.5708 0.0000
0.0000 0.0000 3.8145
Ac In Rh Pb
4 4 10 2
direct
0.1751 0.3249 0.0000
0.3249 0.8249 0.0000
0.6751 0.1751 0.0000
0.8249 0.6751 0.0000
0.1225 0.6225 0.0000
0.3775 0.1225 0.0000
0.6225 0.8775 0.0000
0.8775 0.3775 0.0000
0.0000 0.5000 0.5000
0.0637 0.7964 0.5000
0.2036 0.0637 0.5000
0.2964 0.5637 0.5000
0.4363 0.2964 0.5000
0.5000 0.0000 0.5000
0.5637 0.7036 0.5000
0.7036 0.4363 0.5000
0.7964 0.9363 0.5000
0.9363 0.2036 0.5000
0.0000 0.0000 0.0000
0.5000 0.5000 0.0000
```

Summary:
Its space group is No. 127. The magnetic moment is 0.000 μB per atom. The energy is -5.794 eV per atom.

---

5.
Material: Sr3NbV
Method: DFT, PBE-GGA
State: optimized geometry

```
Sr3NbV
1.0
6.0557 0.0000 0.0000
0.0000 6.0557 0.0000
0.0000 0.0000 6.0557
Sr Nb V
3 1 1
direct
0.0000 0.0000 0.5000
0.0000 0.5000 0.0000
0.5000 0.0000 0.0000
0.5000 0.5000 0.5000
0.0000 0.0000 0.0000
```

Summary:
Its space group is No. 221. For the energy relative to the lowest polymorph listed for this composition, the calculation gives 0.08 eV per formula unit. The magnetic moment is 1.965 μB per atom. The energy is -3.421 eV per atom.

---

6.
Material: BaTmPd2
Method: DFT, PBE-GGA
State: optimized geometry

```
BaTmPd2
1.0
4.7123 0.0000 0.0000
-2.3562 4.0810 0.0000
0.0000 0.0000 17.6018
Ba Tm Pd
3 3 6
direct
0.0000 0.0000 0.0000
0.3333 0.6667 0.6667
0.6667 0.3333 0.3333
0.0000 0.0000 0.5000
0.3333 0.6667 0.1667
0.6667 0.3333 0.8333
0.0000 0.0000 0.2088
0.0000 0.0000 0.7912
0.3333 0.6667 0.4578
0.3333 0.6667 0.8755
0.6667 0.3333 0.1245
0.6667 0.3333 0.5422
```

Summary:
Its space group is No. 166. For the energy relative to the lowest polymorph listed for this composition, the calculation gives 0.26 eV per formula unit. The magnetic moment is 0.000 μB per atom. The energy is -4.843 eV per atom.